No. 1
# TlCdP

An optimized crystal structure of TlCdP (PBE, Alexandria).

Lattice parameters (Å, degrees): 11.597 3.862 3.700 90.00 90.17 90.00
Space group Cm (No. 8)
Unique sites:
Tl  0.000  0.000  0.000 x2
Cd  0.263  0.000  0.996 x2
P  0.305  0.500  0.497 x2

The value obtained for the energy relative to the elements is 0.21 eV per atom.

=====

No. 2
# Th2AlPt6

An optimized crystal structure of Th2AlPt6 (PBE, Alexandria).

Lattice parameters (Å, degrees): 9.832 5.743 6.292 90.00 103.69 90.00
Space group C2/m (No. 12)
Unique sites:
Th  0.144  0.000  0.344 x4
Al  0.000  0.500  0.500 x2
Pt  0.127  0.500  0.202 x4
Pt  0.130  0.244  0.811 x8

The value obtained for the energy relative to the elements is -1.12 eV per atom.

=====

No. 3
# GaTcIN2

An optimized crystal structure of GaTcIN2 (PBE, Alexandria).

Lattice parameters (Å, degrees): 3.975 3.975 5.714 90.00 90.00 90.00
Space group P4/mmm (No. 123)
Unique sites:
Ga  0.000  0.000  0.000 x1
Tc  0.500  0.500  0.500 x1
I  0.500  0.500  0.000 x1
N  0.000  0.500  0.500 x2

The calculation puts the energy above the most stable polymorph in this dataset at 0.0 meV/atom. The raw formation energy comes out at 0.714 eV/atom.

=====

No. 4
# PuCd3

An optimized crystal structure of PuCd3 (PBE, Alexandria).

Lattice parameters (Å, degrees): 3.015 5.185 6.218 90.00 90.00 90.00
Space group Pmm2 (No. 25)
Unique sites:
Pu  0.000  0.000  0.000 x1
Cd  0.000  0.500  0.316 x1
Cd  0.500  0.000  0.502 x1
Cd  0.500  0.500  0.786 x1

The value obtained for the energy relative to the elements is 0.01 eV per atom.

=====

No. 5
# GaGeAu5

An optimized crystal structure of GaGeAu5 (PBE, Alexandria).

Lattice parameters (Å, degrees): 4.353 4.353 7.007 90.00 90.00 90.00
Space group P4/mmm (No. 123)
Unique sites:
Ga  0.000  0.000  0.000 x1
Ge  0.000  0.000  0.500 x1
Au  0.000  0.500  0.218 x4
Au  0.500  0.500  0.500 x1

The calculation puts the energy above the most stable polymorph in this dataset at 39.6 meV/atom. The value obtained for the energy relative to the elements is 0.01 eV per atom.

=====

No. 6
# LiAgRu

An optimized crystal structure of LiAgRu (PBE, Alexandria).

Lattice parameters (Å, degrees): 2.638 2.638 13.035 90.00 90.00 90.00
Space group I4mm (No. 107)
Unique sites:
Li  0.000  0.000  0.000 x2
Ag  0.000  0.000  0.331 x2
Ru  0.000  0.000  0.657 x2

The calculation puts the energy above the most stable polymorph in this dataset at 51.8 meV/atom. The value obtained for the energy relative to the elements is 0.28 eV per atom.